Here is a geometry-optimized HoMnZnO4 structure from Alexandria. Energies are from GGA+U.

## Properties
Space-group type ... No. 74
VASP energy ... -6.73 eV per atom
Total magnetization ... 4.0 Bohr magnetons per cell

Lattice parameters (Å, degrees): 6.121 6.242 6.242 62.59 60.64 60.64
Last column: magnetic moment on the atom in μB.
Element x y z (fractional)
Ho 0.000 0.000 0.000  0.01
Ho 0.000 0.500 0.500  0.01
Mn 0.500 0.000 0.500  2.03
Mn 0.000 0.000 0.500  2.03
Zn 0.617 0.633 0.133  0.00
Zn 0.383 0.367 0.867  0.00
O 0.744 0.789 0.722  -0.04
O 0.256 0.778 0.711  -0.04
O 0.744 0.222 0.289  -0.04
O 0.256 0.211 0.278  -0.04
O 0.224 0.771 0.271  0.00
O 0.735 0.771 0.271  0.00
O 0.265 0.229 0.729  0.00
O 0.776 0.229 0.729  0.00